No. 1
VASP calculation (PBE) on SrPr2Zn2Ge2 after structural relaxation.

The structure in CIF format:
```
data_SrPr2Zn2Ge2
_chemical_formula_sum 'Sr3 Pr6 Zn6 Ge6'
_cell_length_a 4.2680
_cell_length_b 4.2680
_cell_length_c 35.9320
_cell_angle_alpha 90.00
_cell_angle_beta 90.00
_cell_angle_gamma 120.00
_space_group_name_H-M_alt 'R -3 m'
_space_group_IT_number 166
_space_group_name_Hall '-R 3 2"'
loop_
_atom_site_label
_atom_site_fract_x
_atom_site_fract_y
_atom_site_fract_z
Sr1 0.0000 0.0000 0.0000
Pr1 0.0000 0.0000 0.1231
Zn1 0.0000 0.0000 0.4021
Ge1 0.0000 0.0000 0.2693
```


No. 2
VASP calculation (PBE) on SrPrZnGe after structural relaxation.

The structure in CIF format:
```
data_SrPrZnGe
_chemical_formula_sum 'Sr4 Pr4 Zn4 Ge4'
_cell_length_a 7.5503
_cell_length_b 7.5503
_cell_length_c 7.5503
_cell_angle_alpha 90.00
_cell_angle_beta 90.00
_cell_angle_gamma 90.00
_space_group_name_H-M_alt 'F -4 3 m'
_space_group_IT_number 216
_space_group_name_Hall 'F -4 2 3'
loop_
_atom_site_label
_atom_site_fract_x
_atom_site_fract_y
_atom_site_fract_z
Sr1 0.0000 0.0000 0.0000
Pr1 0.0000 0.0000 0.5000
Zn1 0.2500 0.2500 0.7500
Ge1 0.2500 0.2500 0.2500
```


Energy relative to the elements (computed, meV/atom): -427.7; -395.2
M_tot (computed, Bohr magnetons per cell): 3.12; 0.00
D(E_F) (computed, states/eV per cell): 10.93; 14.34